Record 1
The following is a DFT calculation (PBE) of an optimized crystal structure of PaTaV.

Cell lengths 4.605, 4.605, 3.037 Å; angles 90.00, 90.00, 120.00 degrees
Positions (direct):
Pa  0.000  0.000  0.000
Ta  0.333  0.667  0.644
V  0.667  0.333  0.290

Results
**Distance to the lowest polymorph of the same formula**: 0.000 eV/atom
**Symmetry**: No. 156
**DFT total energy**: -29.9 eV for the cell shown
**Calculated density**: 13781 kg/m³



Record 2
The following is a DFT calculation (PBE) of an optimized crystal structure of DyGe3Te6.

Cell lengths 12.452, 4.120, 13.376 Å; angles 90.00, 112.54, 90.00 degrees
Positions (direct):
Dy  0.049  0.250  0.211
Dy  0.951  0.750  0.789
Ge  0.198  0.250  0.701
Ge  0.298  0.750  0.097
Ge  0.497  0.750  0.644
Ge  0.503  0.250  0.356
Ge  0.702  0.250  0.903
Ge  0.802  0.750  0.299
Te  0.031  0.750  0.381
Te  0.096  0.250  0.980
Te  0.231  0.750  0.841
Te  0.253  0.750  0.280
Te  0.329  0.250  0.578
Te  0.464  0.250  0.141
Te  0.536  0.750  0.859
Te  0.671  0.750  0.422
Te  0.747  0.250  0.720
Te  0.769  0.250  0.159
Te  0.904  0.750  0.020
Te  0.969  0.250  0.619

Results
**Symmetry**: No. 11
**DFT total energy**: -81.6 eV for the cell shown
**Calculated density**: 6005 kg/m³



Q: Which value of calculated density does entry 1 give?
A: 13781 kg/m³